Entry 1:
A relaxed LiReSeN2 crystal, computed with PBE-GGA.

## Properties
Offset from the most stable computed form   0 meV/atom
Symmetry   P4/mmm, No. 123
Density of states at the Fermi level   2.441 states/eV per cell
ΔE_f (raw)   49 meV/atom

Unit cell a=3.8281 b=3.8281 c=5.3535 alpha=90.00 beta=90.00 gamma=90.00
Atoms (fractional coordinates):
Li 0.5000 0.5000 0.5000
N 0.0000 0.5000 0.0000
N 0.5000 0.0000 0.0000
Re 0.0000 0.0000 0.0000
Se 0.0000 0.0000 0.5000



Entry 2:
A relaxed LiReSi2N crystal, computed with PBE-GGA.

## Properties
Symmetry   P4/mmm, No. 123
Density of states at the Fermi level   3.015 states/eV per cell
ΔE_f (raw)   1313 meV/atom

Unit cell a=4.4630 b=3.1684 c=4.4630 alpha=90.00 beta=90.00 gamma=90.00
Atoms (fractional coordinates):
Si 0.0000 0.0000 0.5000
Si 0.5000 0.0000 0.0000
N 0.0000 0.5000 0.0000
Re 0.5000 0.5000 0.5000
Li 0.0000 0.0000 0.0000



Entry 3:
A relaxed LiSm2Re2N6 crystal, computed with PBE-GGA.

## Properties
Symmetry   R-3m, No. 166
Density of states at the Fermi level   3.743 states/eV per cell
ΔE_f (raw)   -423 meV/atom

Unit cell a=5.5833 b=5.5833 c=6.7737 alpha=65.66 beta=65.66 gamma=60.00
Atoms (fractional coordinates):
N 0.2588 0.2588 0.7057
N 0.2588 0.7766 0.7057
N 0.2234 0.7412 0.2943
N 0.7766 0.2588 0.7057
N 0.7412 0.2234 0.2943
N 0.7412 0.7412 0.2943
Sm 0.2059 0.2059 0.3823
Sm 0.7941 0.7941 0.6177
Li 0.0000 0.0000 0.0000
Re 0.3963 0.3963 0.8112
Re 0.6037 0.6037 0.1888



Entry 4:
A relaxed Li2SmReN4 crystal, computed with PBE-GGA.

## Properties
Symmetry   P1, No. 1
Density of states at the Fermi level   0.000 states/eV per cell
ΔE_f (raw)   -705 meV/atom

Unit cell a=6.1178 b=6.6246 c=8.0629 alpha=126.22 beta=125.52 gamma=78.99
Atoms (fractional coordinates):
Sm 0.8214 0.2827 0.7623
Sm 0.1348 0.5391 0.5723
Li 0.5069 0.0528 0.1072
Li 0.9854 0.8423 0.3593
Li 0.5060 0.6346 0.0770
Li 0.4297 0.0968 0.7753
Re 0.5115 0.5570 0.3580
Re 0.0013 0.9535 0.1059
N 0.1937 0.8031 0.9729
N 0.7312 0.7109 0.9873
N 0.7625 0.7910 0.4567
N 0.3016 0.3321 0.0058
N 0.3177 0.7143 0.4871
N 0.8458 0.1884 0.0489
N 0.7109 0.3650 0.4662
N 0.2397 0.1362 0.4579



Entry 5:
A relaxed LiSmReN3 crystal, computed with PBE-GGA.

## Properties
Symmetry   Cmcm, No. 63
Density of states at the Fermi level   0.093 states/eV per cell
ΔE_f (raw)   -552 meV/atom

Unit cell a=3.3726 b=6.0099 c=8.0320 alpha=90.00 beta=90.00 gamma=106.30
Atoms (fractional coordinates):
N 0.6441 0.2881 0.0641
N 0.3559 0.7119 0.5641
N 0.6441 0.2881 0.4359
N 0.0463 0.0927 0.7500
N 0.3559 0.7119 0.9359
N 0.9537 0.9073 0.2500
Sm 0.2956 0.5911 0.2500
Sm 0.7044 0.4089 0.7500
Re 0.4446 0.8892 0.7500
Re 0.5554 0.1108 0.2500
Li 0.0000 0.0000 0.5000
Li 0.0000 0.0000 0.0000



Entry 6:
A relaxed Li2ReSnN crystal, computed with PBE-GGA.

## Properties
Symmetry   P4/mmm, No. 123
Density of states at the Fermi level   3.881 states/eV per cell
ΔE_f (raw)   -206 meV/atom

Unit cell a=4.1880 b=4.1880 c=3.8985 alpha=90.00 beta=90.00 gamma=90.00
Atoms (fractional coordinates):
Li 0.5000 0.0000 0.0000
Li 0.0000 0.5000 0.0000
Re 0.0000 0.0000 0.5000
Sn 0.5000 0.5000 0.5000
N 0.0000 0.0000 0.0000



Entry 7:
A relaxed Sr2LiReN4 crystal, computed with PBE-GGA.

## Properties
Symmetry   Pmn2_1, No. 31
Density of states at the Fermi level   0.000 states/eV per cell
ΔE_f (raw)   -772 meV/atom

Unit cell a=5.8349 b=6.1177 c=7.3733 alpha=90.00 beta=90.00 gamma=90.00
Atoms (fractional coordinates):
N 0.7534 0.0179 0.0000
N 0.7504 0.9769 0.5000
N 0.4963 0.6385 0.2875
N 0.2534 0.9821 0.5000
N 0.2504 0.0231 0.0000
N 0.9963 0.3615 0.7875
N 0.4963 0.6385 0.7125
N 0.9963 0.3615 0.2125
Sr 0.5019 0.2311 0.7523
Sr 0.0019 0.7689 0.2523
Sr 0.0019 0.7689 0.7477
Sr 0.5019 0.2311 0.2477
Re 0.9996 0.2061 0.0000
Re 0.4996 0.7939 0.5000
Li 0.0001 0.2072 0.5000
Li 0.5001 0.7928 0.0000



Entry 8:
A relaxed SrLi2ReN4 crystal, computed with PBE-GGA.

## Properties
Symmetry   Imma, No. 74
Density of states at the Fermi level   5.615 states/eV per cell
ΔE_f (raw)   -180 meV/atom

Unit cell a=7.0192 b=7.0192 c=6.2500 alpha=116.43 beta=116.43 gamma=106.12
Atoms (fractional coordinates):
Li 0.0000 0.0000 0.5000
Li 0.5000 0.5000 0.0000
Li 0.5000 0.0000 0.0000
Li 0.5000 0.0000 0.5000
Re 0.0000 0.0000 0.0000
Re 0.5000 0.5000 0.5000
Sr 0.0000 0.5000 0.5000
Sr 0.0000 0.5000 0.0000
N 0.2975 0.9429 0.1202
N 0.2226 0.2772 0.4770
N 0.7772 0.7226 0.9770
N 0.5571 0.2026 0.3798
N 0.4429 0.7974 0.6202
N 0.7774 0.7228 0.5230
N 0.7026 0.0571 0.8798
N 0.2228 0.2774 0.0230



Entry 9:
A relaxed LiTbRe2N6 crystal, computed with PBE-GGA.

## Properties
Symmetry   C2/c, No. 15
Density of states at the Fermi level   0.000 states/eV per cell
ΔE_f (raw)   -414 meV/atom

Unit cell a=6.1709 b=7.3903 c=7.3903 alpha=86.14 beta=73.74 gamma=73.74
Atoms (fractional coordinates):
Tb 0.7500 0.0994 0.9006
Tb 0.2500 0.9006 0.0994
Re 0.7844 0.6142 0.7866
Re 0.2156 0.3858 0.2134
Re 0.7156 0.2134 0.3858
Re 0.2844 0.7866 0.6142
N 0.6485 0.1247 0.6165
N 0.8515 0.3835 0.8753
N 0.8373 0.0254 0.2110
N 0.4391 0.3665 0.3442
N 0.1485 0.6165 0.1247
N 0.5609 0.6335 0.6558
N 0.3373 0.2110 0.0254
N 0.9391 0.3442 0.3665
N 0.6627 0.7890 0.9746
N 0.3515 0.8753 0.3835
N 0.0609 0.6558 0.6335
N 0.1627 0.9746 0.7890
Li 0.7500 0.7663 0.2337
Li 0.2500 0.2337 0.7663



Entry 10:
A relaxed Li2ReTcN4 crystal, computed with PBE-GGA.

## Properties
Symmetry   Pmn2_1, No. 31
Density of states at the Fermi level   3.525 states/eV per cell
ΔE_f (raw)   -226 meV/atom

Unit cell a=5.2059 b=5.7760 c=6.5227 alpha=90.00 beta=90.00 gamma=90.00
Atoms (fractional coordinates):
N 0.4038 0.7047 0.7464
N 0.3611 0.1666 0.5000
N 0.9038 0.2953 0.7536
N 0.8611 0.8334 0.0000
N 0.3521 0.1634 0.0000
N 0.8521 0.8366 0.5000
N 0.4038 0.7047 0.2536
N 0.9038 0.2953 0.2464
Li 0.4987 0.3529 0.2479
Li 0.4987 0.3529 0.7521
Li 0.9987 0.6471 0.2521
Li 0.9987 0.6471 0.7479
Tc 0.4921 0.8557 0.0000
Tc 0.9921 0.1443 0.5000
Re 0.4896 0.8595 0.5000
Re 0.9896 0.1405 0.0000



Entry 11:
A relaxed Li3ReTc2N6 crystal, computed with PBE-GGA.

## Properties
Symmetry   C2/m, No. 12
Density of states at the Fermi level   1.164 states/eV per cell
ΔE_f (raw)   -239 meV/atom

Unit cell a=5.0756 b=5.0756 c=5.5250 alpha=98.41 beta=98.41 gamma=121.35
Atoms (fractional coordinates):
N 0.7517 0.7517 0.2573
N 0.0720 0.4071 0.2179
N 0.2483 0.2483 0.7427
N 0.5929 0.9280 0.7821
N 0.4071 0.0720 0.2179
N 0.9280 0.5929 0.7821
Tc 0.3585 0.6415 0.0000
Tc 0.6415 0.3585 0.0000
Li 0.5000 0.5000 0.5000
Li 0.1710 0.8290 0.5000
Li 0.8290 0.1710 0.5000
Re 0.0000 0.0000 0.0000



Entry 12:
A relaxed LiReTeN2 crystal, computed with PBE-GGA.

## Properties
Offset from the most stable computed form   1990 meV/atom
Symmetry   P4/mmm, No. 123
Density of states at the Fermi level   4.693 states/eV per cell
ΔE_f (raw)   2139 meV/atom

Unit cell a=3.8171 b=3.8171 c=4.6394 alpha=90.00 beta=90.00 gamma=90.00
Atoms (fractional coordinates):
Re 0.5000 0.5000 0.5000
N 0.0000 0.5000 0.0000
N 0.5000 0.0000 0.0000
Te 0.0000 0.0000 0.5000
Li 0.0000 0.0000 0.0000



Please write out number 10 again, unchanged.
A relaxed Li2ReTcN4 crystal, computed with PBE-GGA.

## Properties
Symmetry   Pmn2_1, No. 31
Density of states at the Fermi level   3.525 states/eV per cell
ΔE_f (raw)   -226 meV/atom

Unit cell a=5.2059 b=5.7760 c=6.5227 alpha=90.00 beta=90.00 gamma=90.00
Atoms (fractional coordinates):
N 0.4038 0.7047 0.7464
N 0.3611 0.1666 0.5000
N 0.9038 0.2953 0.7536
N 0.8611 0.8334 0.0000
N 0.3521 0.1634 0.0000
N 0.8521 0.8366 0.5000
N 0.4038 0.7047 0.2536
N 0.9038 0.2953 0.2464
Li 0.4987 0.3529 0.2479
Li 0.4987 0.3529 0.7521
Li 0.9987 0.6471 0.2521
Li 0.9987 0.6471 0.7479
Tc 0.4921 0.8557 0.0000
Tc 0.9921 0.1443 0.5000
Re 0.4896 0.8595 0.5000
Re 0.9896 0.1405 0.0000